[1]
{
  "formula": "ScFeTcSn",
  "functional": "PBE",
  "state": "relaxed",
  "cell": [[0.000, 3.237, 3.237], [3.237, 0.000, 3.237], [3.237, 3.237, 0.000]],
  "species": ["Sc", "Fe", "Tc", "Sn"],
  "frac_coords": [[0.000, 0.000, 0.000], [0.500, 0.500, 0.500], [0.750, 0.750, 0.750], [0.250, 0.250, 0.250]],
  "de_polymorph_mev_per_atom": 147,
  "space_group": "F-43m"
}

[2]
{
  "formula": "CsLiRe",
  "functional": "PBE",
  "state": "relaxed",
  "cell": [[0.000, 3.629, 3.629], [3.629, 0.000, 3.629], [3.629, 3.629, 0.000]],
  "species": ["Cs", "Li", "Re"],
  "frac_coords": [[0.000, 0.000, 0.000], [0.250, 0.250, 0.250], [0.500, 0.500, 0.500]],
  "de_polymorph_mev_per_atom": 0,
  "space_group": "F-43m"
}

[3]
{
  "formula": "FeSiNiIr",
  "functional": "PBE",
  "state": "relaxed",
  "cell": [[0.000, 3.764, 3.764], [3.764, 0.000, 3.764], [3.764, 3.764, 0.000]],
  "species": ["Fe", "Si", "Ni", "Ir"],
  "frac_coords": [[0.000, 0.000, 0.000], [0.750, 0.750, 0.750], [0.250, 0.250, 0.250], [0.500, 0.500, 0.500]],
  "de_polymorph_mev_per_atom": 2259,
  "space_group": "F-43m"
}

[4]
{
  "formula": "In2GaNi",
  "functional": "PBE",
  "state": "relaxed",
  "cell": [[0.000, 3.408, 3.408], [3.408, 0.000, 3.408], [3.408, 3.408, 0.000]],
  "species": ["In", "In", "Ga", "Ni"],
  "frac_coords": [[0.000, 0.000, 0.000], [0.250, 0.250, 0.250], [0.750, 0.750, 0.750], [0.500, 0.500, 0.500]],
  "e_tot_ev_per_atom": -3.275,
  "space_group": "F-43m"
}

In μB per atom, the M_tot values for the records above are, in order, 0.9672 1.0719 1.2501 0.0024.